1.
A relaxed structure of NaBeBr2. Source: Alexandria via LeMat-Bulk, functional PBE.

Lattice parameters (Å, degrees): 7.2033 7.2033 7.2033 90.00 90.00 90.00
Closest atoms and distances in Å follow each position.
Space group Fm-3m (No. 225)
One atom of each set of equivalent atoms:
Na 0.0000 0.0000 0.0000 x4  8 Br 3.12
Be 0.0000 0.0000 0.5000 x4  8 Br 3.12
Br 0.2500 0.2500 0.2500 x8  4 Na 3.12, 4 Be 3.12

Uncorrected formation energy (kJ/mol of atoms): -17.69
Distance to the lowest polymorph of the same formula (eV/f.u.): 1.206


2.
A relaxed structure of Ac2PaHg. Source: Alexandria via LeMat-Bulk, functional PBE.

Lattice parameters (Å, degrees): 3.5463 3.5463 37.0497 90.00 90.00 120.00
Closest atoms and distances in Å follow each position.
Space group R-3m (No. 166, hexagonal axes)
One atom of each set of equivalent atoms:
Ac 0.0000 0.0000 0.0914 x6  1 Pa 3.39, 3 Hg 3.46, 6 Ac 3.55
Pa 0.0000 0.0000 0.0000 x3  2 Ac 3.39, 6 Pa 3.55
Hg 0.0000 0.0000 0.5000 x3  6 Ac 3.46, 6 Hg 3.55

Distance to the lowest polymorph of the same formula (eV/f.u.): 1.390
Formation energy from the elements (eV/f.u.): 1.56


3.
A relaxed structure of Y3HfI. Source: Alexandria via LeMat-Bulk, functional PBE.

Lattice parameters (Å, degrees): 5.5546 5.5546 5.5546 90.00 90.00 90.00
Closest atoms and distances in Å follow each position.
Space group Pm-3m (No. 221)
One atom of each set of equivalent atoms:
Y 0.0000 0.0000 0.5000 x3  2 I 2.78
Hf 0.5000 0.5000 0.5000 x1  12 Y 3.93
I 0.0000 0.0000 0.0000 x1  6 Y 2.78

Uncorrected formation energy (kJ/mol of atoms): 47.30
Distance to the lowest polymorph of the same formula (eV/f.u.): 0.000


4.
A relaxed structure of CdRe2As2. Source: Alexandria via LeMat-Bulk, functional PBE.

Lattice parameters (Å, degrees): 7.5512 7.5512 2.9213 90.00 90.00 90.00
Closest atoms and distances in Å follow each position.
Space group P4/mbm (No. 127)
One atom of each set of equivalent atoms:
Cd 0.0000 0.0000 0.0000 x2  4 As 2.91, 2 Cd 2.92, 8 Re 3.22
Re 0.1517 0.3483 0.5000 x4  6 As 2.65-2.66, 2 Re 2.92
As 0.1407 0.6407 0.0000 x4  6 Re 2.65-2.66, 2 Cd 2.91, 2 As 2.92

Distance to the lowest polymorph of the same formula (eV/f.u.): 1.156
Formation energy from the elements (eV/f.u.): 2.75


5.
A relaxed structure of BeRu. Source: Alexandria via LeMat-Bulk, functional PBE.

Lattice parameters (Å, degrees): 2.7847 2.7847 5.6520 90.00 90.00 90.00
Closest atoms and distances in Å follow each position.
Space group P4/nmm (No. 129, origin choice 2)
One atom of each set of equivalent atoms:
Be 0.2500 0.2500 0.0931 x2  4 Be 2.23, 5 Ru 2.44-2.49
Ru 0.2500 0.2500 0.6522 x2  5 Be 2.44-2.49, 4 Ru 2.62

Formation energy from the elements (eV/f.u.): -0.47


6.
A relaxed structure of Ho8GaSn2. Source: Alexandria via LeMat-Bulk, functional PBE.

Lattice parameters (Å, degrees): 19.1993 5.0167 6.6758 90.00 104.36 90.00
Closest atoms and distances in Å follow each position.
Space group C2/m (No. 12)
One atom of each set of equivalent atoms:
Ho 0.0200 0.0000 0.2764 x4  2 Ga 2.99, 1 Sn 3.13, 1 Ho 3.26
Ho 0.0908 0.5000 0.9690 x4  1 Ga 3.18, 2 Sn 3.37, 3 Ho 3.43-3.45
Ho 0.1527 0.5000 0.4997 x4  1 Ga 2.93, 3 Sn 3.10-3.20
Ho 0.2165 0.0000 0.8203 x4  3 Sn 3.16-3.31, 4 Ho 3.33-3.49
Ga 0.0000 0.5000 0.5000 x2  8 Ho 2.93-3.18
Sn 0.1811 0.0000 0.2581 x4  9 Ho 3.10-3.37

Formation energy from the elements (eV/f.u.): -4.04


7.
A relaxed structure of BaCdMoPt2. Source: Alexandria via LeMat-Bulk, functional PBE.

Lattice parameters (Å, degrees): 5.3918 5.3918 5.4893 90.00 90.00 90.00
Closest atoms and distances in Å follow each position.
Space group P4/mmm (No. 123)
One atom of each set of equivalent atoms:
Ba 0.0000 0.0000 0.0000 x1  4 Pt 2.70, 2 Mo 2.74
Cd 0.5000 0.5000 0.5000 x1  4 Mo 3.81, 8 Pt 3.85
Mo 0.0000 0.0000 0.5000 x1  2 Ba 2.74
Pt 0.0000 0.5000 0.0000 x2  2 Ba 2.70

Formation energy from the elements (eV/f.u.): 9.84


8.
A relaxed structure of LiLaTlPb. Source: Alexandria via LeMat-Bulk, functional PBE.

Lattice parameters (Å, degrees): 7.6476 7.6476 7.6476 90.00 90.00 90.00
Closest atoms and distances in Å follow each position.
Space group F-43m (No. 216)
One atom of each set of equivalent atoms:
Li 0.0000 0.0000 0.0000 x4  4 Pb 3.31, 4 Tl 3.31
La 0.0000 0.0000 0.5000 x4  4 Tl 3.31, 4 Pb 3.31
Tl 0.2500 0.2500 0.2500 x4  4 La 3.31, 4 Li 3.31
Pb 0.2500 0.2500 0.7500 x4  4 La 3.31, 4 Li 3.31

Distance to the lowest polymorph of the same formula (eV/f.u.): 0.041
Formation energy from the elements (eV/f.u.): -1.51


9.
A relaxed structure of Ba4TlHg5. Source: Alexandria via LeMat-Bulk, functional PBE.

Lattice parameters (Å, degrees): 4.1988 4.1988 20.0189 90.00 90.00 90.00
Closest atoms and distances in Å follow each position.
Space group P4/mmm (No. 123)
One atom of each set of equivalent atoms:
Ba 0.0000 0.0000 0.1062 x2  8 Hg 3.63-3.65
Ba 0.0000 0.0000 0.3152 x2  8 Hg 3.59-3.63, 1 Tl 3.70
Tl 0.0000 0.0000 0.5000 x1  8 Hg 3.41, 2 Ba 3.70
Hg 0.5000 0.5000 0.0000 x1  8 Ba 3.65
Hg 0.5000 0.5000 0.2108 x2  8 Ba 3.63
Hg 0.5000 0.5000 0.4162 x2  1 Hg 3.35, 4 Tl 3.41, 4 Ba 3.59

Formation energy from the elements (eV/f.u.): -4.41


10.
A relaxed structure of Tl2CdInCu. Source: Alexandria via LeMat-Bulk, functional PBE.

Lattice parameters (Å, degrees): 5.2771 5.2771 5.0942 90.00 90.00 90.00
Closest atoms and distances in Å follow each position.
Space group P4/mmm (No. 123)
One atom of each set of equivalent atoms:
Tl 0.0000 0.5000 0.0000 x2  2 Cu 2.64
Cd 0.0000 0.0000 0.5000 x1  2 Cu 2.55
In 0.5000 0.5000 0.5000 x1  8 Tl 3.67, 4 Cd 3.73
Cu 0.0000 0.0000 0.0000 x1  2 Cd 2.55, 4 Tl 2.64

Distance to the lowest polymorph of the same formula (eV/f.u.): 0.029
Formation energy from the elements (eV/f.u.): 1.01


Table of density (g/cm³), in record order: 3.4 10.9 5.5 12.7 8.3 8.7 7.7 8.3 8.3 8.2